P.
The following is a DFT calculation (PBE) of an optimized crystal structure of AcAsPdO.

abc: 4.7682 4.3479 7.5444
angles: 90.00 90.00 90.00
With the nearest neighbours (Å) after each atom.
Space group Amm2 (No. 38)
Inequivalent atoms, fractional coordinates:
Ac1 0.0000 0.0000 0.0000 [2 per cell]  3 O 2.51
As1 0.5000 0.0000 0.6650 [2 per cell]  3 Pd 2.51
Pd1 0.5000 0.0000 0.3318 [2 per cell]  2 O 2.38, 3 As 2.51
O1 0.0000 0.0000 0.3328 [2 per cell]  2 Pd 2.38, 3 Ac 2.51

- spin magnetization (μB per atom) = 0.000
- calculated volume (Å³/cell) = 156

Q.
The following is a DFT calculation (PBE) of an optimized crystal structure of AcAsPdO.

abc: 3.5820 8.0629 5.6122
angles: 90.00 90.00 90.00
With the nearest neighbours (Å) after each atom.
Space group Pmc2_1 (No. 26)
Inequivalent atoms, fractional coordinates:
Ac1 0.0000 0.1459 0.0000 [2 per cell]  4 O 2.51-2.62
As1 0.0000 0.4570 0.4300 [2 per cell]  2 Pd 2.42
Pd1 0.5000 0.2614 0.5043 [2 per cell]  1 O 2.31, 2 As 2.42
O1 0.5000 0.0249 0.7378 [2 per cell]  1 Pd 2.31, 2 Ac 2.51

- spin magnetization (μB per atom) = 0.000
- calculated volume (Å³/cell) = 162

Short version: P, Q, most stable first.

P.
The following is a DFT calculation (PBE) of an optimized crystal structure of AcPmAsO.

abc: 4.3041 8.5020 5.9804
angles: 90.00 90.00 90.00
With the nearest neighbours (Å) after each atom.
Space group Pmc2_1 (No. 26)
Inequivalent atoms, fractional coordinates:
Ac1 0.0000 0.1164 0.0000 [2 per cell]  2 O 2.51-2.60
Pm1 0.5000 0.3049 0.4565 [2 per cell]  2 O 2.41
As1 0.5000 0.3570 0.9505 [2 per cell]  3 Pm 2.88-3.06, 2 Ac 2.98
O1 0.0000 0.1827 0.4088 [2 per cell]  2 Pm 2.41, 2 Ac 2.51-2.60

- spin magnetization (μB per atom) = 0.141
- calculated volume (Å³/cell) = 219

Q.
The following is a DFT calculation (PBE) of an optimized crystal structure of AcPmAsO.

abc: 4.5578 4.5578 9.6570
angles: 90.00 90.00 90.00
With the nearest neighbours (Å) after each atom.
Space group P4/nmm (No. 129, origin choice 2)
Inequivalent atoms, fractional coordinates:
Ac1 0.2500 0.2500 0.1145 [2 per cell]  4 O 2.53
Pm1 0.2500 0.7500 0.5000 [2 per cell]  4 As 2.95, 4 Pm 3.22
As1 0.2500 0.2500 0.6936 [2 per cell]  4 Pm 2.95
O1 0.2500 0.7500 0.0000 [2 per cell]  4 Ac 2.53

- spin magnetization (μB per atom) = 0.115
- calculated volume (Å³/cell) = 201

Short version: Q, P, most stable first.

P.
The following is a DFT calculation (PBE) of an optimized crystal structure of AcPmAsO.

abc: 4.4991 7.9606 6.4246
angles: 90.00 90.00 90.00
With the nearest neighbours (Å) after each atom.
Space group Pmc2_1 (No. 26)
Inequivalent atoms, fractional coordinates:
Ac1 0.0000 0.2059 0.0000 [2 per cell]  2 O 2.53
Pm1 0.5000 0.3911 0.5719 [2 per cell]  2 O 2.33-2.34
As1 0.0000 0.1800 0.4950 [2 per cell]  2 Pm 2.85, 2 Ac 3.07-3.19
O1 0.5000 0.3386 0.9294 [2 per cell]  2 Pm 2.33-2.34, 2 Ac 2.53

- spin magnetization (μB per atom) = 0.005
- calculated volume (Å³/cell) = 230

Q.
The following is a DFT calculation (PBE) of an optimized crystal structure of AcPmAsO.

abc: 4.5850 4.5850 9.2764
angles: 90.00 90.00 90.00
With the nearest neighbours (Å) after each atom.
Space group P4/nmm (No. 129, origin choice 2)
Inequivalent atoms, fractional coordinates:
Ac1 0.2500 0.7500 0.0000 [2 per cell]  4 As 3.10, 4 Ac 3.24
Pm1 0.2500 0.2500 0.4121 [2 per cell]  4 O 2.43
As1 0.2500 0.2500 0.7750 [2 per cell]  4 Ac 3.10, 1 Pm 3.37, 4 O 3.43
O1 0.2500 0.7500 0.5000 [2 per cell]  4 Pm 2.43

- spin magnetization (μB per atom) = 0.077
- calculated volume (Å³/cell) = 195

Short version: P, Q, most stable first.

P.
The following is a DFT calculation (PBE) of an optimized crystal structure of AcReAsO.

abc: 4.4514 4.4514 7.3757
angles: 90.00 90.00 90.00
With the nearest neighbours (Å) after each atom.
Space group P4/nmm (No. 129, origin choice 2)
Inequivalent atoms, fractional coordinates:
Ac1 0.2500 0.7500 0.0000 [2 per cell]  4 As 3.11, 4 Ac 3.15
Re1 0.2500 0.2500 0.3804 [2 per cell]  4 O 2.39, 1 As 2.40
As1 0.2500 0.2500 0.7053 [2 per cell]  1 Re 2.40
O1 0.2500 0.7500 0.5000 [2 per cell]  4 Re 2.39

- spin magnetization (μB per atom) = 0.111
- calculated volume (Å³/cell) = 146

Q.
The following is a DFT calculation (PBE) of an optimized crystal structure of AcReAsO.

abc: 4.0344 4.6028 8.0243
angles: 90.00 90.00 90.00
With the nearest neighbours (Å) after each atom.
Space group Pmc2_1 (No. 26)
Inequivalent atoms, fractional coordinates:
Ac1 0.0000 0.2482 0.0000 [2 per cell]  3 O 2.66-2.67
Re1 0.5000 0.2529 0.3320 [2 per cell]  2 O 2.02
As1 0.5000 0.2488 0.6656 [2 per cell]  3 Re 2.65-2.68
O1 0.0000 0.2528 0.3325 [2 per cell]  2 Re 2.02

- spin magnetization (μB per atom) = 0.000
- calculated volume (Å³/cell) = 149

Short version: Q, P, most stable first.

P.
The following is a DFT calculation (PBE) of an optimized crystal structure of AcReAsO.

abc: 4.4743 6.5201 6.2953
angles: 90.00 90.00 90.00
With the nearest neighbours (Å) after each atom.
Space group Pmc2_1 (No. 26)
Inequivalent atoms, fractional coordinates:
Ac1 0.0000 0.2293 0.0000 [2 per cell]  2 O 2.44
Re1 0.5000 0.3995 0.5906 [2 per cell]  2 O 1.99-2.04
As1 0.0000 0.2617 0.4981 [2 per cell]  2 Re 2.48
O1 0.5000 0.3468 0.9021 [2 per cell]  2 Re 1.99-2.04

- spin magnetization (μB per atom) = 0.000
- calculated volume (Å³/cell) = 184

Q.
The following is a DFT calculation (PBE) of an optimized crystal structure of AcReAsO.

abc: 4.0929 4.0929 9.3504
angles: 90.00 90.00 90.00
With the nearest neighbours (Å) after each atom.
Space group P4/nmm (No. 129, origin choice 2)
Inequivalent atoms, fractional coordinates:
Ac1 0.2500 0.2500 0.1423 [2 per cell]  4 O 2.44
Re1 0.2500 0.7500 0.5000 [2 per cell]  4 As 2.53
As1 0.2500 0.2500 0.6591 [2 per cell]  4 Re 2.53
O1 0.2500 0.7500 0.0000 [2 per cell]  4 Ac 2.44

- spin magnetization (μB per atom) = 0.001
- calculated volume (Å³/cell) = 157

Short version: Q, P, most stable first.

P.
The following is a DFT calculation (PBE) of an optimized crystal structure of AcSmAsO.

abc: 4.4958 7.8936 6.4354
angles: 90.00 90.00 90.00
With the nearest neighbours (Å) after each atom.
Space group Pmc2_1 (No. 26)
Inequivalent atoms, fractional coordinates:
Ac1 0.0000 0.2063 0.0000 [2 per cell]  2 O 2.52
Sm1 0.5000 0.3922 0.5740 [2 per cell]  2 O 2.31-2.33
As1 0.0000 0.1832 0.4930 [2 per cell]  2 Sm 2.84, 1 Ac 3.07
O1 0.5000 0.3386 0.9267 [2 per cell]  2 Sm 2.31-2.33, 2 Ac 2.52

- spin magnetization (μB per atom) = 0.002
- calculated volume (Å³/cell) = 228

Q.
The following is a DFT calculation (PBE) of an optimized crystal structure of AcSmAsO.

abc: 4.5587 4.5587 9.5882
angles: 90.00 90.00 90.00
With the nearest neighbours (Å) after each atom.
Space group P4/nmm (No. 129, origin choice 2)
Inequivalent atoms, fractional coordinates:
Ac1 0.2500 0.2500 0.1149 [2 per cell]  4 O 2.53
Sm1 0.2500 0.7500 0.5000 [2 per cell]  4 As 2.93, 4 Sm 3.22
As1 0.2500 0.2500 0.6919 [2 per cell]  4 Sm 2.93
O1 0.2500 0.7500 0.0000 [2 per cell]  4 Ac 2.53

- spin magnetization (μB per atom) = 0.125
- calculated volume (Å³/cell) = 199

Short version: Q, P, most stable first.

P.
The following is a DFT calculation (PBE) of an optimized crystal structure of AcSmAsO.

abc: 4.5806 4.5806 9.2482
angles: 90.00 90.00 90.00
With the nearest neighbours (Å) after each atom.
Space group P4/nmm (No. 129, origin choice 2)
Inequivalent atoms, fractional coordinates:
Ac1 0.2500 0.7500 0.0000 [2 per cell]  4 As 3.10, 4 Ac 3.24
Sm1 0.2500 0.2500 0.4149 [2 per cell]  4 O 2.42
As1 0.2500 0.2500 0.7738 [2 per cell]  4 Ac 3.10, 1 Sm 3.32, 4 O 3.41
O1 0.2500 0.7500 0.5000 [2 per cell]  4 Sm 2.42

- spin magnetization (μB per atom) = 0.060
- calculated volume (Å³/cell) = 194

Q.
The following is a DFT calculation (PBE) of an optimized crystal structure of AcSmAsO.

abc: 4.3624 6.2248 7.6976
angles: 90.00 90.00 90.00
With the nearest neighbours (Å) after each atom.
Space group Pmc2_1 (No. 26)
Inequivalent atoms, fractional coordinates:
Ac1 0.0000 0.0854 0.0000 [2 per cell]  2 O 2.56-2.59
Sm1 0.5000 0.3700 0.3401 [2 per cell]  2 O 2.32
As1 0.5000 0.1872 0.7018 [2 per cell]  2 Sm 2.95-3.01, 4 Ac 3.17-3.23
O1 0.0000 0.2532 0.3036 [2 per cell]  2 Sm 2.32, 2 Ac 2.56-2.59

- spin magnetization (μB per atom) = 0.240
- calculated volume (Å³/cell) = 209

Short version: Q, P, most stable first.

P.
The following is a DFT calculation (PBE) of an optimized crystal structure of AcZnAsO.

abc: 5.0441 4.2504 7.3618
angles: 90.00 90.00 90.00
With the nearest neighbours (Å) after each atom.
Space group Pmc2_1 (No. 26)
Inequivalent atoms, fractional coordinates:
Ac1 0.0000 0.2463 0.0000 [2 per cell]  3 O 2.45-2.46
Zn1 0.5000 0.2554 0.3321 [2 per cell]  3 As 2.45-2.46, 2 O 2.52
As1 0.5000 0.2449 0.6659 [2 per cell]  3 Zn 2.45-2.46
O1 0.0000 0.2546 0.3334 [2 per cell]  3 Ac 2.45-2.46, 2 Zn 2.52

- spin magnetization (μB per atom) = 0.000
- calculated volume (Å³/cell) = 158

Q.
The following is a DFT calculation (PBE) of an optimized crystal structure of AcZnAsO.

abc: 4.4631 6.7164 6.3584
angles: 90.00 90.00 90.00
With the nearest neighbours (Å) after each atom.
Space group Pmc2_1 (No. 26)
Inequivalent atoms, fractional coordinates:
Ac1 0.0000 0.2456 0.0000 [2 per cell]  2 O 2.39
Zn1 0.5000 0.1440 0.5908 [2 per cell]  2 O 2.10-2.21
As1 0.0000 0.2804 0.5018 [2 per cell]  2 Zn 2.48
O1 0.5000 0.1324 0.9375 [2 per cell]  2 Zn 2.10-2.21

- spin magnetization (μB per atom) = 0.000
- calculated volume (Å³/cell) = 191

R.
The following is a DFT calculation (PBE) of an optimized crystal structure of AcZnAsO.

abc: 4.1836 4.1836 9.3192
angles: 90.00 90.00 90.00
With the nearest neighbours (Å) after each atom.
Space group P4/nmm (No. 129, origin choice 2)
Inequivalent atoms, fractional coordinates:
Ac1 0.2500 0.2500 0.1398 [2 per cell]  4 O 2.46
Zn1 0.2500 0.7500 0.5000 [2 per cell]  4 As 2.59
As1 0.2500 0.2500 0.6643 [2 per cell]  4 Zn 2.59
O1 0.2500 0.7500 0.0000 [2 per cell]  4 Ac 2.46

- spin magnetization (μB per atom) = 0.000
- calculated volume (Å³/cell) = 163

Short version: R, P, Q, most stable first.

P.
The following is a DFT calculation (PBE) of an optimized crystal structure of AcTbAs.

abc: 7.5083 7.5083 7.5083
angles: 90.00 90.00 90.00
With the nearest neighbours (Å) after each atom.
Space group F-43m (No. 216)
Inequivalent atoms, fractional coordinates:
Ac1 0.0000 0.0000 0.0000 [4 per cell]  4 Tb 3.25, 4 As 3.25
Tb1 0.2500 0.2500 0.2500 [4 per cell]  4 Ac 3.25
As1 0.2500 0.2500 0.7500 [4 per cell]  4 Ac 3.25

- spin magnetization (μB per atom) = 0.513
- calculated volume (Å³/cell) = 423

Q.
The following is a DFT calculation (PBE) of an optimized crystal structure of AcTbAs.

abc: 7.2193 7.2193 7.2193
angles: 90.00 90.00 90.00
With the nearest neighbours (Å) after each atom.
Space group F-43m (No. 216)
Inequivalent atoms, fractional coordinates:
Ac1 0.0000 0.0000 0.0000 [4 per cell]  4 As 3.13
Tb1 0.0000 0.0000 0.5000 [4 per cell]  4 As 3.13
As1 0.2500 0.2500 0.2500 [4 per cell]  4 Ac 3.13, 4 Tb 3.13

- spin magnetization (μB per atom) = 0.007
- calculated volume (Å³/cell) = 376

Short version: Q, P, most stable first.

P.
The following is a DFT calculation (PBE) of an optimized crystal structure of AcUAs.

abc: 7.2137 7.2137 7.2137
angles: 90.00 90.00 90.00
With the nearest neighbours (Å) after each atom.
Space group F-43m (No. 216)
Inequivalent atoms, fractional coordinates:
Ac1 0.0000 0.0000 0.0000 [4 per cell]  4 As 3.12
U1 0.0000 0.0000 0.5000 [4 per cell]  4 As 3.12
As1 0.2500 0.2500 0.2500 [4 per cell]  4 Ac 3.12, 4 U 3.12

- spin magnetization (μB per atom) = 1.325
- calculated volume (Å³/cell) = 375

Q.
The following is a DFT calculation (PBE) of an optimized crystal structure of AcUAs.

abc: 7.3805 7.3805 7.3805
angles: 90.00 90.00 90.00
With the nearest neighbours (Å) after each atom.
Space group F-43m (No. 216)
Inequivalent atoms, fractional coordinates:
Ac1 0.0000 0.0000 0.0000 [4 per cell]  4 U 3.20, 4 As 3.20
U1 0.2500 0.2500 0.2500 [4 per cell]  4 Ac 3.20
As1 0.2500 0.2500 0.7500 [4 per cell]  4 Ac 3.20

- spin magnetization (μB per atom) = 1.814
- calculated volume (Å³/cell) = 402

Short version: P, Q, most stable first.

P.
The following is a DFT calculation (PBE) of an optimized crystal structure of AcAu2.

abc: 13.6714 13.6714 13.6714
angles: 90.00 90.00 90.00
With the nearest neighbours (Å) after each atom.
Space group Fd-3m (No. 227, origin choice 2)
Inequivalent atoms, fractional coordinates:
Ac1 0.1250 0.1250 0.1250 [8 per cell]  4 Au 2.96
Au1 0.0000 0.0000 0.0000 [16 per cell]  2 Ac 2.96

- spin magnetization (μB per atom) = 0.112
- calculated volume (Å³/cell) = 2555

Q.
The following is a DFT calculation (PBE) of an optimized crystal structure of AcAu2.

abc: 4.8321 8.3066 3.9550
angles: 90.00 90.00 90.00
With the nearest neighbours (Å) after each atom.
Space group Cmmm (No. 65)
Inequivalent atoms, fractional coordinates:
Ac1 0.0000 0.0000 0.0000 [2 per cell]  12 Au 3.40-3.42
Au1 0.0000 0.3327 0.5000 [4 per cell]  3 Au 2.78

- spin magnetization (μB per atom) = 0.001
- calculated volume (Å³/cell) = 159

Short version: Q, P, most stable first.

P.
The following is a DFT calculation (PBE) of an optimized crystal structure of AcB4Au.

abc: 3.2246 5.4180 9.3479
angles: 90.00 90.00 90.00
With the nearest neighbours (Å) after each atom.
Space group Immm (No. 71)
Inequivalent atoms, fractional coordinates:
Ac1 0.0000 0.0000 0.0000 [2 per cell]  12 B 2.94-2.97, 4 Au 3.15, 2 Ac 3.22
B1 0.0000 0.3091 0.2620 [8 per cell]  2 B 1.75
Au1 0.0000 0.0000 0.5000 [2 per cell]  12 B 2.79-3.11

- spin magnetization (μB per atom) = 0.000
- calculated volume (Å³/cell) = 163

Q.
The following is a DFT calculation (PBE) of an optimized crystal structure of AcB4Au.

abc: 3.3137 3.3137 7.7836
angles: 90.00 90.00 120.00
With the nearest neighbours (Å) after each atom.
Space group P6/mmm (No. 191)
Inequivalent atoms, fractional coordinates:
Ac1 0.0000 0.0000 0.0000 [1 per cell]  12 B 2.90
B1 0.3333 0.6667 0.2805 [4 per cell]  3 B 1.91
Au1 0.0000 0.0000 0.5000 [1 per cell]  12 B 2.56

- spin magnetization (μB per atom) = 0.000
- calculated volume (Å³/cell) = 74

Short version: P, Q, most stable first.